Record 1
A geometry-optimized Na4SnHg structure. Source: Alexandria, functional PBE.

Values from the calculation:
Calculated density: 4.271 g/cm3
ΔE_f: -0.151 eV/atom

a = 9.689 Å, b = 9.689 Å, c = 5.352 Å
α = 90.00°, β = 90.00°, γ = 140.47°
Atoms (fractional coordinates):
Na  0.038  0.455  0.250
Na  0.199  0.281  0.250
Na  0.281  0.199  0.750
Na  0.455  0.038  0.750
Na  0.545  0.962  0.250
Na  0.719  0.801  0.250
Na  0.801  0.719  0.750
Na  0.962  0.545  0.750
Sn  0.128  0.872  0.250
Sn  0.872  0.128  0.750
Hg  0.377  0.623  0.750
Hg  0.623  0.377  0.250



Record 2
A geometry-optimized TlRu2 structure. Source: Alexandria, functional PBE.

Values from the calculation:
Calculated density: 11.343 g/cm3
ΔE_f: 0.438 eV/atom

a = 9.874 Å, b = 9.874 Å, c = 4.319 Å
α = 90.00°, β = 90.00°, γ = 163.58°
Atoms (fractional coordinates):
Tl  0.181  0.819  0.750
Tl  0.819  0.181  0.250
Ru  0.074  0.926  0.250
Ru  0.462  0.538  0.250
Ru  0.538  0.462  0.750
Ru  0.926  0.074  0.750



Record 3
A geometry-optimized LiNdLuGa structure. Source: Alexandria, functional PBE.

Values from the calculation:
Calculated density: 6.874 g/cm3
ΔE_f: -0.292 eV/atom

a = 5.133 Å, b = 5.133 Å, c = 5.133 Å
α = 60.00°, β = 60.00°, γ = 60.00°
Atoms (fractional coordinates):
Li  0.000  0.000  0.000
Nd  0.750  0.750  0.750
Lu  0.250  0.250  0.250
Ga  0.500  0.500  0.500



Record 4
A geometry-optimized CeNd3Pu2S6 structure. Source: Alexandria, functional PBE.

Values from the calculation:
Calculated density: 7.519 g/cm3
Uncorrected energy: -97.15 eV/cell

a = 6.963 Å, b = 6.963 Å, c = 6.988 Å
α = 99.55°, β = 99.55°, γ = 120.00°
Atoms (fractional coordinates):
Ce  0.000  0.000  0.000
Nd  0.166  0.834  0.500
Nd  0.500  0.500  0.500
Nd  0.834  0.166  0.500
Pu  0.333  0.667  0.000
Pu  0.667  0.333  0.000
S  0.081  0.417  0.242
S  0.256  0.256  0.759
S  0.417  0.081  0.242
S  0.583  0.919  0.758
S  0.744  0.744  0.241
S  0.919  0.583  0.758



Record 5
A geometry-optimized KTiCu2Se4 structure. Source: Alexandria, functional PBE.

Values from the calculation:
Calculated density: 4.404 g/cm3
Uncorrected energy: -36.03 eV/cell

a = 6.535 Å, b = 6.535 Å, c = 6.535 Å
α = 119.16°, β = 119.16°, γ = 91.46°
Atoms (fractional coordinates):
K  0.000  0.000  0.000
Ti  0.500  0.500  0.000
Cu  0.250  0.750  0.500
Cu  0.750  0.250  0.500
Se  0.133  0.133  0.596
Se  0.462  0.867  0.000
Se  0.538  0.538  0.404
Se  0.867  0.462  0.000



Record 6
A geometry-optimized Be17AlTc structure. Source: Alexandria, functional PBE.

Values from the calculation:
Calculated density: 2.829 g/cm3
ΔE_f: -0.072 eV/atom

a = 5.514 Å, b = 5.514 Å, c = 5.514 Å
α = 82.13°, β = 82.13°, γ = 82.13°
Atoms (fractional coordinates):
Be  0.001  0.499  0.499
Be  0.057  0.057  0.057
Be  0.159  0.461  0.851
Be  0.159  0.851  0.461
Be  0.162  0.162  0.657
Be  0.162  0.657  0.162
Be  0.260  0.260  0.260
Be  0.325  0.809  0.809
Be  0.461  0.159  0.851
Be  0.461  0.851  0.159
Be  0.499  0.001  0.499
Be  0.499  0.499  0.001
Be  0.657  0.162  0.162
Be  0.809  0.325  0.809
Be  0.809  0.809  0.325
Be  0.851  0.159  0.461
Be  0.851  0.461  0.159
Al  0.807  0.807  0.807
Tc  0.490  0.490  0.490



Record 7
A geometry-optimized NpPdAu structure. Source: Alexandria, functional PBE.

Values from the calculation:
Calculated density: 16.235 g/cm3
ΔE_f: -0.036 eV/atom

a = 10.501 Å, b = 10.501 Å, c = 3.284 Å
α = 90.00°, β = 90.00°, γ = 162.23°
Atoms (fractional coordinates):
Np  0.221  0.779  0.750
Np  0.779  0.221  0.250
Pd  0.367  0.633  0.750
Pd  0.633  0.367  0.250
Au  0.054  0.946  0.750
Au  0.946  0.054  0.250



Record 8
A geometry-optimized TbHo3Hg2 structure. Source: Alexandria, functional PBE.

Values from the calculation:
Calculated density: 10.542 g/cm3
ΔE_f: -0.304 eV/atom

a = 3.666 Å, b = 3.666 Å, c = 12.365 Å
α = 90.00°, β = 90.00°, γ = 90.00°
Atoms (fractional coordinates):
Tb  0.000  0.000  0.000
Ho  0.500  0.500  0.197
Ho  0.500  0.500  0.500
Ho  0.500  0.500  0.803
Hg  0.000  0.000  0.348
Hg  0.000  0.000  0.652



Record 9
A geometry-optimized OsPb2I structure. Source: Alexandria, functional PBE.

Values from the calculation:
Calculated density: 7.689 g/cm3
Uncorrected energy: -34.41 eV/cell

a = 8.299 Å, b = 8.299 Å, c = 8.299 Å
α = 131.28°, β = 131.28°, γ = 71.37°
Atoms (fractional coordinates):
Os  0.000  0.000  0.000
Os  0.750  0.250  0.500
Pb  0.023  0.625  0.898
Pb  0.375  0.273  0.398
Pb  0.727  0.125  0.102
Pb  0.875  0.977  0.602
I  0.250  0.750  0.500
I  0.500  0.500  0.000



Record 10
A geometry-optimized AcLa2HoEr5 structure. Source: Alexandria, functional PBE.

Values from the calculation:
Calculated density: 8.225 g/cm3
ΔE_f: 0.257 eV/atom

a = 10.041 Å, b = 10.041 Å, c = 10.041 Å
α = 128.16°, β = 128.16°, γ = 76.36°
Atoms (fractional coordinates):
Ac  0.250  0.250  0.000
Ac  0.750  0.750  0.000
La  0.117  0.617  0.734
La  0.383  0.117  0.500
La  0.617  0.883  0.500
La  0.883  0.383  0.266
Ho  0.250  0.750  0.500
Ho  0.750  0.250  0.500
Er  0.000  0.000  0.000
Er  0.075  0.152  0.500
Er  0.152  0.652  0.077
Er  0.348  0.425  0.500
Er  0.425  0.925  0.077
Er  0.500  0.500  0.000
Er  0.575  0.075  0.923
Er  0.652  0.575  0.500
Er  0.848  0.348  0.923
Er  0.925  0.848  0.500



Record 11
A geometry-optimized NdDy7Y3 structure. Source: Alexandria, functional PBE.

Values from the calculation:
Calculated density: 6.877 g/cm3
ΔE_f: 0.195 eV/atom

a = 7.068 Å, b = 7.068 Å, c = 8.643 Å
α = 90.00°, β = 90.00°, γ = 120.00°
Atoms (fractional coordinates):
Nd  0.000  0.000  0.000
Dy  0.003  0.501  0.995
Dy  0.331  0.165  0.327
Dy  0.333  0.667  0.323
Dy  0.499  0.501  0.995
Dy  0.499  0.997  0.995
Dy  0.835  0.165  0.327
Dy  0.835  0.669  0.327
Y  0.167  0.334  0.659
Y  0.167  0.833  0.659
Y  0.666  0.833  0.659



Record 12
A geometry-optimized Nb2Fe5Co2Ru structure. Source: Alexandria, functional PBE.

Values from the calculation:
Calculated density: 8.785 g/cm3
ΔE_f: 0.042 eV/atom

a = 8.304 Å, b = 8.304 Å, c = 3.750 Å
α = 90.00°, β = 90.00°, γ = 90.00°
Atoms (fractional coordinates):
Nb  0.173  0.327  0.000
Nb  0.327  0.827  0.000
Nb  0.673  0.173  0.000
Nb  0.827  0.673  0.000
Fe  0.000  0.500  0.500
Fe  0.062  0.795  0.500
Fe  0.205  0.062  0.500
Fe  0.295  0.562  0.500
Fe  0.438  0.295  0.500
Fe  0.500  0.000  0.500
Fe  0.562  0.705  0.500
Fe  0.705  0.438  0.500
Fe  0.795  0.938  0.500
Fe  0.938  0.205  0.500
Co  0.125  0.625  0.000
Co  0.375  0.125  0.000
Co  0.625  0.875  0.000
Co  0.875  0.375  0.000
Ru  0.000  0.000  0.000
Ru  0.500  0.500  0.000



Record 13
A geometry-optimized ZrBPd2 structure. Source: Alexandria, functional PBE.

Values from the calculation:
Calculated density: 7.067 g/cm3
ΔE_f: 0.092 eV/atom

a = 7.053 Å, b = 7.053 Å, c = 7.053 Å
α = 139.27°, β = 139.27°, γ = 58.97°
Atoms (fractional coordinates):
Zr  0.000  0.000  0.000
Zr  0.750  0.250  0.500
B  0.250  0.750  0.500
B  0.500  0.500  0.000
Pd  0.237  0.625  0.112
Pd  0.375  0.487  0.612
Pd  0.513  0.125  0.888
Pd  0.875  0.763  0.388



Record 14
A geometry-optimized Ho6C3SeS2 structure. Source: Alexandria, functional PBE.

Values from the calculation:
Calculated density: 8.462 g/cm3
Uncorrected energy: -81.92 eV/cell

a = 8.552 Å, b = 8.552 Å, c = 7.703 Å
α = 105.84°, β = 105.84°, γ = 25.09°
Atoms (fractional coordinates):
Ho  0.009  0.009  0.223
Ho  0.323  0.323  0.437
Ho  0.341  0.341  0.895
Ho  0.659  0.659  0.105
Ho  0.677  0.677  0.563
Ho  0.991  0.991  0.777
C  0.167  0.167  0.332
C  0.500  0.500  0.000
C  0.833  0.833  0.668
Se  0.500  0.500  0.500
S  0.167  0.167  0.833
S  0.833  0.833  0.167



Record 15
A geometry-optimized La12YTm3 structure. Source: Alexandria, functional PBE.

Values from the calculation:
Calculated density: 6.701 g/cm3
ΔE_f: 0.007 eV/atom

a = 5.194 Å, b = 5.194 Å, c = 20.783 Å
α = 90.00°, β = 90.00°, γ = 90.00°
Atoms (fractional coordinates):
La  0.000  0.000  0.000
La  0.000  0.000  0.249
La  0.000  0.000  0.500
La  0.000  0.000  0.751
La  0.000  0.500  0.125
La  0.000  0.500  0.374
La  0.000  0.500  0.626
La  0.000  0.500  0.875
La  0.500  0.000  0.125
La  0.500  0.000  0.374
La  0.500  0.000  0.626
La  0.500  0.000  0.875
Y  0.500  0.500  0.500
Tm  0.500  0.500  0.000
Tm  0.500  0.500  0.249
Tm  0.500  0.500  0.751



Record 16
A geometry-optimized Ni3Br structure. Source: Alexandria, functional PBE.

Values from the calculation:
Calculated density: 7.946 g/cm3
Uncorrected energy: -32.30 eV/cell

a = 4.747 Å, b = 4.747 Å, c = 4.747 Å
α = 90.00°, β = 90.00°, γ = 90.00°
Atoms (fractional coordinates):
Ni  0.000  0.250  0.500
Ni  0.000  0.750  0.500
Ni  0.250  0.500  0.000
Ni  0.500  0.000  0.250
Ni  0.500  0.000  0.750
Ni  0.750  0.500  0.000
Br  0.000  0.000  0.000
Br  0.500  0.500  0.500



Record 17
A geometry-optimized NiHg2Sb structure. Source: Alexandria, functional PBE.

Values from the calculation:
Calculated density: 10.850 g/cm3
Uncorrected energy: -10.19 eV/cell

a = 3.133 Å, b = 3.133 Å, c = 9.069 Å
α = 90.00°, β = 90.00°, γ = 90.00°
Atoms (fractional coordinates):
Ni  0.000  0.000  0.000
Hg  0.000  0.000  0.503
Hg  0.500  0.500  0.798
Sb  0.500  0.500  0.165



Record 18
A geometry-optimized NaCaMo2W structure. Source: Alexandria, functional PBE.

Values from the calculation:
Calculated density: 5.790 g/cm3
ΔE_f: 1.311 eV/atom

a = 4.768 Å, b = 4.768 Å, c = 5.535 Å
α = 90.00°, β = 90.00°, γ = 90.00°
Atoms (fractional coordinates):
Na  0.000  0.000  0.000
Ca  0.500  0.500  0.000
Mo  0.000  0.500  0.500
Mo  0.500  0.000  0.500
W  0.000  0.000  0.500



Record 19
A geometry-optimized La5Sn2Ru structure. Source: Alexandria, functional PBE.

Values from the calculation:
Calculated density: 6.768 g/cm3
ΔE_f: -0.619 eV/atom

a = 8.319 Å, b = 12.654 Å, c = 4.816 Å
α = 90.00°, β = 90.00°, γ = 90.00°
Atoms (fractional coordinates):
La  0.000  0.000  0.000
La  0.128  0.301  0.000
La  0.191  0.566  0.500
La  0.309  0.066  0.500
La  0.372  0.801  0.000
La  0.500  0.500  0.000
La  0.628  0.199  0.000
La  0.691  0.934  0.500
La  0.809  0.434  0.500
La  0.872  0.699  0.000
Sn  0.083  0.829  0.500
Sn  0.417  0.329  0.500
Sn  0.583  0.671  0.500
Sn  0.917  0.171  0.500
Ru  0.000  0.500  0.000
Ru  0.500  0.000  0.000



Record 20
A geometry-optimized Na4TlHg structure. Source: Alexandria, functional PBE.

Values from the calculation:
Calculated density: 4.747 g/cm3
ΔE_f: -0.130 eV/atom

a = 5.843 Å, b = 5.847 Å, c = 11.031 Å
α = 102.59°, β = 101.73°, γ = 101.82°
Atoms (fractional coordinates):
Na  0.078  0.077  0.156
Na  0.172  0.668  0.339
Na  0.332  0.830  0.661
Na  0.420  0.422  0.844
Na  0.580  0.578  0.156
Na  0.668  0.170  0.339
Na  0.828  0.332  0.661
Na  0.922  0.923  0.844
Tl  0.246  0.248  0.500
Tl  0.754  0.752  0.500
Hg  0.000  0.500  0.000
Hg  0.500  0.000  0.000



Record 21
A geometry-optimized LiCdOs2 structure. Source: Alexandria, functional PBE.

Values from the calculation:
Calculated density: 13.408 g/cm3
ΔE_f: 0.200 eV/atom

a = 2.806 Å, b = 3.780 Å, c = 5.835 Å
α = 90.00°, β = 90.09°, γ = 90.00°
Atoms (fractional coordinates):
Li  0.000  0.000  0.000
Cd  0.500  0.500  0.229
Os  0.499  0.500  0.729
Os  0.999  0.000  0.547



Record 22
A geometry-optimized TbDyO structure. Source: Alexandria, functional PBE.

Values from the calculation:
Calculated density: 8.172 g/cm3
Uncorrected energy: -19.31 eV/cell

a = 6.835 Å, b = 6.835 Å, c = 6.835 Å
α = 152.37°, β = 152.37°, γ = 39.48°
Atoms (fractional coordinates):
Tb  0.000  0.000  0.000
Dy  0.281  0.281  0.000
O  0.456  0.456  0.000



Record 23
A geometry-optimized ZnAg2IrF structure. Source: Alexandria, functional PBE.

Values from the calculation:
Calculated density: 9.861 g/cm3
Uncorrected energy: -16.21 eV/cell

a = 4.615 Å, b = 4.615 Å, c = 3.893 Å
α = 90.00°, β = 90.00°, γ = 90.00°
Atoms (fractional coordinates):
Zn  0.000  0.000  0.000
Ag  0.000  0.500  0.500
Ag  0.500  0.000  0.500
Ir  0.500  0.500  0.000
F  0.000  0.000  0.500